First-principles (PBE) data for Rb3Pr2US6 after structural relaxation, as listed in Alexandria via LeMat-Bulk.

a = 7.292 Å, b = 7.292 Å, c = 8.092 Å
α = 98.64°, β = 98.64°, γ = 120.03°
Atoms (fractional coordinates):
Pr 0.334 0.666 0.000
Pr 0.666 0.334 0.000
Rb 0.169 0.831 0.500
Rb 0.831 0.169 0.500
Rb 0.500 0.500 0.500
S 0.611 0.934 0.803
S 0.743 0.743 0.197
S 0.257 0.257 0.803
S 0.934 0.611 0.803
S 0.066 0.389 0.197
S 0.389 0.066 0.197
U 0.000 0.000 0.000

Properties
Formation energy from raw total energies: -1643 meV per atom
Space-group type: C2/m, No. 12
Electronic total energy: -5.69 eV per atom

***

First-principles (PBE) data for Si2Pd3 after structural relaxation, as listed in Alexandria via LeMat-Bulk.

a = 6.689 Å, b = 6.689 Å, c = 5.513 Å
α = 52.65°, β = 52.65°, γ = 60.00°
Atoms (fractional coordinates):
Pd 0.250 0.520 0.250
Pd 0.750 0.480 0.750
Pd 0.020 0.750 0.750
Pd 0.480 0.020 0.750
Pd 0.520 0.980 0.250
Pd 0.980 0.250 0.250
Si 0.602 0.602 0.193
Si 0.898 0.898 0.307
Si 0.102 0.102 0.693
Si 0.398 0.398 0.807

Properties
Formation energy from raw total energies: -464 meV per atom
Space-group type: R-3c, No. 167
Electronic total energy: -5.75 eV per atom

***

First-principles (PBE) data for Tb4BiSe2S after structural relaxation, as listed in Alexandria via LeMat-Bulk.

a = 8.336 Å, b = 8.336 Å, c = 8.324 Å
α = 119.95°, β = 119.95°, γ = 90.05°
Atoms (fractional coordinates):
S 0.000 0.500 0.000
S 0.000 0.500 0.500
Tb 0.240 0.260 0.982
Tb 0.242 0.726 0.984
Tb 0.240 0.260 0.518
Tb 0.758 0.274 0.016
Tb 0.774 0.258 0.516
Tb 0.760 0.740 0.482
Tb 0.226 0.742 0.484
Tb 0.760 0.740 0.018
Se 0.000 0.000 0.500
Se 0.500 0.000 0.000
Se 0.500 0.500 0.000
Se 0.500 0.000 0.500
Bi 0.000 0.000 0.000
Bi 0.500 0.500 0.500

Properties
Formation energy from raw total energies: -1557 meV per atom
Space-group type: Imma, No. 74
Electronic total energy: -5.74 eV per atom

***

First-principles (PBE) data for Na3Sm3PtO8 after structural relaxation, as listed in Alexandria via LeMat-Bulk.

a = 6.882 Å, b = 6.882 Å, c = 6.838 Å
α = 120.22°, β = 90.00°, γ = 120.00°
Atoms (fractional coordinates):
O 0.782 0.564 0.296
O 0.262 0.524 0.287
O 0.738 0.476 0.713
O 0.218 0.436 0.704
O 0.782 0.014 0.296
O 0.232 0.014 0.296
O 0.768 0.986 0.704
O 0.218 0.986 0.704
Na 0.000 0.500 0.000
Na 0.500 0.500 0.000
Na 0.000 0.000 0.000
Pt 0.000 0.000 0.500
Sm 0.500 0.000 0.500
Sm 0.000 0.500 0.500
Sm 0.500 0.500 0.500

Properties
Formation energy from raw total energies: -2243 meV per atom
Space-group type: R-3m, No. 166
Electronic total energy: -6.50 eV per atom